# 1
VASP calculation (PBE with a Hubbard U) on a relaxed structure of Li2VFe3O8.

abc: 5.956 5.956 9.505
angles: 90.00 90.00 120.00
Each line ends with the local moment (μB).
Fractional coordinates of all 28 atoms:
1 Fe 0.827 0.654 0.717  4.31
2 Li 0.667 0.333 0.401  0.01
3 Fe 0.654 0.827 0.217  4.31
4 Li 0.000 0.000 0.490  0.00
5 O 0.521 0.479 0.848  0.24
6 O 0.479 0.521 0.348  0.24
7 O 0.176 0.352 0.588  0.08
8 O 0.333 0.667 0.104  0.30
9 O 0.479 0.958 0.348  0.24
10 Fe 0.346 0.173 0.717  4.31
11 V 0.333 0.667 0.496  0.23
12 Li 0.333 0.667 0.901  0.01
13 Fe 0.827 0.173 0.717  4.31
14 O 0.958 0.479 0.848  0.24
15 Li 0.000 0.000 0.990  0.00
16 O 0.824 0.648 0.088  0.08
17 Fe 0.173 0.827 0.217  4.31
18 O 0.352 0.176 0.088  0.08
19 O 0.824 0.176 0.088  0.08
20 O 0.176 0.824 0.588  0.08
21 O 0.000 0.000 0.800  0.23
22 Fe 0.173 0.346 0.217  4.31
23 V 0.667 0.333 0.996  0.23
24 O 0.000 0.000 0.300  0.23
25 O 0.648 0.824 0.588  0.08
26 O 0.042 0.521 0.348  0.24
27 O 0.521 0.042 0.848  0.24
28 O 0.667 0.333 0.604  0.30

Properties
Spin magnetization = 30.00 μB/cell
Space-group type = No. 186
Energy above the lowest structure with this stoichiometry = 20.2 meV/atom

=====

# 2
VASP calculation (PBE with a Hubbard U) on a relaxed structure of Li5V3Fe2O10.

abc: 5.194 7.948 6.630
angles: 94.26 59.93 123.43
Each line ends with the local moment (μB).
Fractional coordinates of all 20 atoms:
1 Li 0.587 0.892 0.600  0.00
2 O 0.768 0.992 0.220  0.02
3 V 0.086 0.893 0.122  1.07
4 O 0.036 0.183 0.577  -0.04
5 O 0.874 0.411 0.332  0.05
6 Li 0.815 0.702 0.794  0.00
7 O 0.439 0.814 0.950  0.03
8 V 0.914 0.107 0.878  1.07
9 O 0.561 0.186 0.050  0.03
10 O 0.964 0.817 0.423  -0.04
11 V 0.000 0.500 0.000  1.93
12 O 0.301 0.384 0.861  0.01
13 O 0.126 0.589 0.668  0.05
14 O 0.699 0.616 0.139  0.01
15 Fe 0.704 0.304 0.692  3.73
16 Li 0.413 0.108 0.400  0.00
17 Li 0.500 0.500 0.500  0.00
18 O 0.232 0.008 0.780  0.02
19 Fe 0.296 0.696 0.308  3.73
20 Li 0.185 0.298 0.206  0.00

Properties
Spin magnetization = 11.96 μB/cell
Space-group type = No. 2
Energy above the lowest structure with this stoichiometry = 0.0 meV/atom

=====

# 3
VASP calculation (PBE with a Hubbard U) on a relaxed structure of LiVFeO4.

abc: 5.973 5.953 5.953
angles: 60.20 90.76 60.78
Each line ends with the local moment (μB).
Fractional coordinates of all 14 atoms:
1 O 0.762 0.986 0.748  0.01
2 Fe 0.000 0.000 0.000  3.74
3 V 0.874 0.752 0.625  0.13
4 Li 0.500 0.500 0.500  0.00
5 O 0.751 0.509 0.748  0.02
6 O 0.249 0.002 0.741  0.02
7 O 0.249 0.491 0.252  0.02
8 Fe 0.500 0.500 0.000  3.74
9 V 0.126 0.248 0.375  0.13
10 O 0.227 0.516 0.743  0.01
11 O 0.238 0.014 0.252  0.01
12 O 0.751 0.998 0.259  0.02
13 Li 0.500 0.000 0.000  0.00
14 O 0.773 0.484 0.257  0.01

Properties
D(E_F) = 0.000 states/eV per atom
Spin magnetization = 8.00 μB/cell
Space-group type = No. 12
Energy above the lowest structure with this stoichiometry = 5.0 meV/atom

=====

# 4
VASP calculation (PBE with a Hubbard U) on a relaxed structure of Li2VFe3O8.

abc: 8.456 8.456 8.456
angles: 90.00 90.00 90.00
Each line ends with the local moment (μB).
Fractional coordinates of all 56 atoms:
1 Li 0.502 0.998 0.002  0.01
2 O 0.612 0.112 0.388  0.29
3 Li 0.498 0.498 0.498  0.01
4 O 0.351 0.130 0.132  0.16
5 O 0.851 0.370 0.868  0.16
6 O 0.638 0.862 0.138  0.29
7 O 0.882 0.620 0.601  0.16
8 O 0.362 0.362 0.362  0.29
9 Li 0.248 0.252 0.748  0.01
10 O 0.862 0.138 0.638  0.29
11 Fe 0.125 0.375 0.375  4.32
12 V 0.375 0.875 0.625  0.12
13 Fe 0.875 0.375 0.625  4.32
14 O 0.620 0.601 0.882  0.16
15 O 0.649 0.630 0.368  0.16
16 O 0.899 0.118 0.120  0.16
17 Fe 0.375 0.125 0.375  4.32
18 O 0.368 0.649 0.630  0.16
19 O 0.630 0.368 0.649  0.16
20 Li 0.748 0.248 0.252  0.01
21 Fe 0.625 0.625 0.125  4.32
22 O 0.868 0.851 0.370  0.16
23 O 0.880 0.399 0.382  0.16
24 Fe 0.625 0.125 0.625  4.32
25 Fe 0.375 0.375 0.125  4.32
26 O 0.118 0.120 0.899  0.16
27 V 0.125 0.125 0.125  0.12
28 V 0.875 0.625 0.375  0.12
29 O 0.601 0.882 0.620  0.16
30 V 0.625 0.375 0.875  0.12
31 O 0.138 0.638 0.862  0.29
32 O 0.370 0.868 0.851  0.16
33 Fe 0.625 0.875 0.375  4.32
34 Fe 0.125 0.625 0.625  4.32
35 O 0.388 0.612 0.112  0.29
36 Li 0.752 0.752 0.752  0.01
37 O 0.149 0.870 0.632  0.16
38 Li 0.252 0.748 0.248  0.01
39 O 0.870 0.632 0.149  0.16
40 Fe 0.875 0.875 0.125  4.32
41 O 0.112 0.388 0.612  0.29
42 O 0.618 0.380 0.101  0.16
43 Fe 0.125 0.875 0.875  4.32
44 Li 0.998 0.002 0.502  0.01
45 O 0.132 0.351 0.130  0.16
46 O 0.101 0.618 0.380  0.16
47 Fe 0.875 0.125 0.875  4.32
48 O 0.632 0.149 0.870  0.16
49 O 0.399 0.382 0.880  0.16
50 O 0.888 0.888 0.888  0.29
51 O 0.382 0.880 0.399  0.16
52 Fe 0.375 0.625 0.875  4.32
53 Li 0.002 0.502 0.998  0.01
54 O 0.130 0.132 0.351  0.16
55 O 0.120 0.899 0.118  0.16
56 O 0.380 0.101 0.618  0.16

Properties
Spin magnetization = 60.00 μB/cell
Space-group type = No. 212
Energy above the lowest structure with this stoichiometry = 0.0 meV/atom

=====

# 5
VASP calculation (PBE with a Hubbard U) on a relaxed structure of LiVFeO4.

abc: 5.895 5.895 5.895
angles: 118.16 117.94 93.41
Each line ends with the local moment (μB).
Fractional coordinates of all 14 atoms:
1 O 0.768 0.286 0.018  -0.04
2 Li 0.621 0.871 0.750  0.00
3 V 0.000 0.500 0.000  1.12
4 O 0.232 0.261 0.971  -0.08
5 O 0.210 0.739 0.471  -0.08
6 Fe 0.500 0.500 0.000  3.07
7 V 0.000 0.000 0.500  1.12
8 O 0.768 0.739 0.029  -0.08
9 Fe 0.000 0.500 0.500  3.07
10 O 0.232 0.714 0.982  -0.04
11 O 0.768 0.750 0.482  -0.04
12 Li 0.379 0.129 0.250  0.00
13 O 0.790 0.261 0.529  -0.08
14 O 0.232 0.250 0.518  -0.04

Properties
Spin magnetization = 8.00 μB/cell
Space-group type = No. 74
Energy above the lowest structure with this stoichiometry = 136.2 meV/atom

=====

# 6
VASP calculation (PBE with a Hubbard U) on a relaxed structure of Li4V3Fe2O10.

abc: 5.164 5.206 7.950
angles: 109.13 101.00 100.97
Each line ends with the local moment (μB).
Fractional coordinates of all 19 atoms:
1 Li 0.505 0.477 0.513  0.00
2 O 0.125 0.313 0.535  0.28
3 O 0.927 0.896 0.128  0.05
4 V 0.304 0.113 0.106  1.90
5 O 0.230 0.483 0.224  0.06
6 O 0.873 0.697 0.456  0.25
7 Li 0.809 0.088 0.594  0.00
8 O 0.030 0.083 0.858  0.04
9 Fe 0.897 0.311 0.311  4.30
10 V 0.685 0.886 0.886  1.09
11 O 0.334 0.731 0.949  0.06
12 Li 0.222 0.940 0.427  0.01
13 Li 0.609 0.724 0.230  0.01
14 O 0.676 0.276 0.053  0.06
15 O 0.780 0.529 0.769  0.08
16 V 0.996 0.496 0.995  1.93
17 O 0.474 0.876 0.674  0.02
18 O 0.539 0.110 0.333  0.10
19 Fe 0.098 0.689 0.683  4.30

Properties
Spin magnetization = 15.00 μB/cell
Space-group type = No. 1
Energy above the lowest structure with this stoichiometry = 0.0 meV/atom

=====

# 7
VASP calculation (PBE with a Hubbard U) on a relaxed structure of Li3V4FeO8.

abc: 6.066 6.066 6.037
angles: 60.46 60.46 59.25
Each line ends with the local moment (μB).
Fractional coordinates of all 16 atoms:
1 V 0.500 0.000 0.500  1.92
2 O 0.758 0.266 0.724  0.02
3 Li 0.000 0.500 0.000  -0.01
4 O 0.242 0.734 0.276  0.02
5 O 0.259 0.259 0.259  0.03
6 O 0.253 0.253 0.737  0.02
7 V 0.000 0.000 0.000  2.65
8 O 0.266 0.758 0.724  0.02
9 O 0.734 0.242 0.276  0.02
10 Fe 0.500 0.500 0.000  3.76
11 O 0.747 0.747 0.263  0.02
12 O 0.741 0.741 0.741  0.03
13 Li 0.500 0.000 0.000  -0.01
14 V 0.500 0.500 0.500  1.94
15 V 0.000 0.500 0.500  1.92
16 Li 0.000 0.000 0.500  0.01

Properties
Spin magnetization = 13.00 μB/cell
Space-group type = No. 12
Raw total energy = -6.99 eV per atom

=====

# 8
VASP calculation (PBE with a Hubbard U) on a relaxed structure of LiVFeO4.

abc: 5.240 6.364 5.240
angles: 90.00 67.85 90.00
Each line ends with the local moment (μB).
Fractional coordinates of all 14 atoms:
1 O 0.284 0.750 0.759  0.01
2 V 0.648 0.750 0.648  0.12
3 Li 0.338 0.750 0.338  0.00
4 O 0.759 0.750 0.284  0.01
5 O 0.238 0.473 0.238  0.01
6 Fe 0.000 0.500 0.000  3.76
7 O 0.716 0.250 0.241  0.01
8 Fe 0.000 0.000 0.000  3.76
9 O 0.238 0.027 0.238  0.01
10 V 0.352 0.250 0.352  0.12
11 O 0.762 0.973 0.762  0.01
12 O 0.241 0.250 0.716  0.01
13 Li 0.662 0.250 0.662  0.00
14 O 0.762 0.527 0.762  0.01

Properties
D(E_F) = 0.000 states/eV per atom
Spin magnetization = 8.00 μB/cell
Space-group type = No. 63
Energy above the lowest structure with this stoichiometry = 0.0 meV/atom

=====

# 9
VASP calculation (PBE with a Hubbard U) on a relaxed structure of Li2V3FeO8.

abc: 6.413 6.413 6.499
angles: 75.41 75.41 36.66
Each line ends with the local moment (μB).
Fractional coordinates of all 14 atoms:
1 V 0.395 0.395 0.699  1.02
2 O 0.439 0.439 0.361  0.03
3 O 0.893 0.893 0.681  0.06
4 O 0.551 0.551 0.641  -0.04
5 Li 0.937 0.937 0.362  0.00
6 Li 0.064 0.064 0.653  0.00
7 O 0.633 0.633 0.017  -0.09
8 O 0.343 0.343 0.009  -0.11
9 V 0.290 0.290 0.285  1.14
10 V 0.608 0.608 0.285  1.13
11 O 0.765 0.765 0.334  0.01
12 O 0.121 0.121 0.328  -0.01
13 O 0.246 0.246 0.632  0.01
14 Fe 0.715 0.715 0.713  3.75

Properties
Spin magnetization = 7.03 μB/cell
Space-group type = No. 8
Energy above the lowest structure with this stoichiometry = 46.1 meV/atom

=====

# 10
VASP calculation (PBE with a Hubbard U) on a relaxed structure of Li5V2Fe3O10.

abc: 5.168 5.220 7.822
angles: 102.52 108.91 99.76
Each line ends with the local moment (μB).
Fractional coordinates of all 20 atoms:
1 O 0.594 0.764 0.457  -0.04
2 O 0.195 0.228 0.148  0.18
3 V 0.408 0.016 0.319  1.51
4 O 0.805 0.772 0.852  0.18
5 O 0.987 0.234 0.757  0.13
6 O 0.218 0.767 0.660  0.12
7 Li 0.000 0.000 0.500  0.00
8 O 0.782 0.233 0.340  0.12
9 Fe 0.198 0.994 0.891  4.32
10 Li 0.818 0.499 0.592  0.01
11 O 0.408 0.781 0.065  0.17
12 Li 0.395 0.490 0.784  0.00
13 O 0.406 0.236 0.543  -0.04
14 O 0.592 0.219 0.935  0.17
15 Li 0.182 0.501 0.408  0.01
16 Fe 0.000 0.500 0.000  3.78
17 Li 0.605 0.510 0.216  0.00
18 V 0.592 0.984 0.681  1.51
19 Fe 0.802 0.006 0.109  4.32
20 O 0.013 0.766 0.243  0.13

Properties
Spin magnetization = 17.00 μB/cell
Space-group type = No. 2
Raw total energy = -6.42 eV per atom

=====

# 11
VASP calculation (PBE with a Hubbard U) on a relaxed structure of Li2V3FeO8.

abc: 5.943 5.943 9.611
angles: 89.38 89.38 120.51
Each line ends with the local moment (μB).
Fractional coordinates of all 28 atoms:
1 V 0.175 0.339 0.284  1.11
2 V 0.174 0.832 0.284  1.10
3 Fe 0.669 0.326 0.507  4.35
4 Li 0.334 0.667 0.605  0.01
5 O 0.037 0.518 0.163  0.09
6 O 0.674 0.850 0.900  0.04
7 O 0.656 0.318 0.898  -0.01
8 Li 0.667 0.334 0.105  0.01
9 O 0.961 0.471 0.664  0.03
10 O 0.334 0.164 0.395  0.07
11 O 0.510 0.469 0.662  0.03
12 O 0.471 0.961 0.164  0.03
13 O 0.518 0.037 0.663  0.09
14 O 0.469 0.510 0.162  0.03
15 O 0.850 0.674 0.400  0.04
16 O 0.168 0.851 0.899  0.05
17 V 0.659 0.827 0.290  1.85
18 O 0.318 0.656 0.398  -0.01
19 Li 0.999 0.010 0.005  0.00
20 Li 0.010 0.999 0.505  0.00
21 Fe 0.326 0.669 0.007  4.35
22 O 0.851 0.168 0.399  0.05
23 O 0.002 0.007 0.690  0.01
24 V 0.827 0.659 0.790  1.85
25 V 0.339 0.175 0.784  1.11
26 O 0.164 0.334 0.895  0.07
27 O 0.007 0.002 0.190  0.01
28 V 0.832 0.174 0.784  1.10

Properties
Spin magnetization = 18.00 μB/cell
Space-group type = No. 9
Energy above the lowest structure with this stoichiometry = 0.0 meV/atom

=====

# 12
VASP calculation (PBE with a Hubbard U) on a relaxed structure of Li2V3FeO8.

abc: 5.946 5.946 5.946
angles: 59.92 59.92 59.92
Each line ends with the local moment (μB).
Fractional coordinates of all 14 atoms:
1 O 0.715 0.249 0.249  -0.05
2 Li 0.500 0.500 0.500  0.00
3 O 0.275 0.749 0.749  0.10
4 O 0.249 0.249 0.715  -0.05
5 O 0.258 0.258 0.258  0.00
6 O 0.746 0.746 0.746  0.08
7 O 0.749 0.749 0.275  0.10
8 Fe 0.881 0.881 0.881  4.31
9 O 0.249 0.715 0.249  -0.05
10 V 0.014 0.496 0.496  1.38
11 V 0.496 0.496 0.014  1.38
12 V 0.496 0.014 0.496  1.38
13 O 0.749 0.275 0.749  0.10
14 Li 0.122 0.122 0.122  0.01

Properties
D(E_F) = 0.369 states/eV per atom
Spin magnetization = 9.00 μB/cell
Space-group type = No. 160
Energy above the lowest structure with this stoichiometry = 33.7 meV/atom